(1)
First-principles (PBE-GGA) data for a geometry-optimized Fe2AgPb structure, as listed in the Alexandria database.

Properties
density of states at the Fermi level: 2.15 states/eV per cell
E_form: 2.036 eV/f.u.

```
Fe2AgPb
1.0
-3.619 -1.791 0.992
1.768 -3.628 -0.097
0.907 0.337 3.919
Pb Ag Fe
1 1 2
Direct
0.500 0.500 0.000 Pb
0.500 0.000 0.500 Ag
0.000 0.000 0.000 Fe
0.000 0.500 0.500 Fe
```

(2)
First-principles (PBE-GGA) data for a geometry-optimized Pm2Be3CoGe4 structure, as listed in the Alexandria database.

Properties
density of states at the Fermi level: 5.63 states/eV per cell
E_form: -4.128 eV/f.u.

```
Pm2Be3CoGe4
1.0
4.062 0.000 0.000
0.000 4.062 0.000
0.000 0.000 9.824
Ge Be Pm Co
4 3 2 1
Direct
0.000 0.000 0.000 Ge
0.000 0.500 0.372 Ge
0.500 0.500 0.000 Ge
0.500 0.000 0.628 Ge
0.000 0.000 0.500 Be
0.500 0.000 0.867 Be
0.000 0.500 0.133 Be
0.000 0.500 0.746 Pm
0.500 0.000 0.254 Pm
0.500 0.500 0.500 Co
```

(3)
First-principles (PBE-GGA) data for a geometry-optimized Nd2ScO structure, as listed in the Alexandria database.

Properties
density of states at the Fermi level: 3.58 states/eV per cell
energy relative to the lowest polymorph listed for this composition: 0.0 kJ/mol of atoms

```
Nd2ScO
1.0
3.565 0.000 0.000
1.782 3.087 0.000
1.782 1.029 9.067
O Nd Sc
1 2 1
Direct
0.500 0.500 0.500 O
0.885 0.885 0.346 Nd
0.115 0.115 0.654 Nd
0.000 0.000 0.000 Sc
```